A PBEsol-optimized structure of GeRuO3. Source: Alexandria via LeMat-Bulk, functional meta-GGA SCAN.

a b c (Å): 3.7271 3.7271 3.7271
angles (deg): 90.00 90.00 90.00
With the nearest neighbours (Å) after each atom.
Fractional positions:
Ru (0.5000, 0.5000, 0.5000)  12 O 2.64
Ge (0.0000, 0.0000, 0.0000)  6 O 1.86
O (0.0000, 0.5000, 0.0000)  2 Ge 1.86
O (0.0000, 0.0000, 0.5000)  2 Ge 1.86
O (0.5000, 0.0000, 0.0000)  2 Ge 1.86

Volume, Å³/atom: 10.35
Formation energy (no corrections), eV per formula unit: -3.0
DOS(E_F), states/eV per cell: 2.75
M_tot, μB per formula unit: 4.01
Raw total energy, eV/atom: -15.13